(1)
Sc2SiRh6: optimized geometry, GGA-PBE.

Cell and atoms, written as CIF:
```
data_Sc2SiRh6
_symmetry_space_group_name_H-M 'C 1 2/m 1'
_symmetry_Int_Tables_number 12
_symmetry_space_group_name_Hall '-C 2y'
_cell_length_a 13.886
_cell_length_b 7.235
_cell_length_c 2.938
_cell_angle_alpha 90.00
_cell_angle_beta 102.12
_cell_angle_gamma 90.00
loop_
_atom_site_label
_atom_site_fract_x
_atom_site_fract_y
_atom_site_fract_z
Sc1 0.156 0.000 0.157
Si1 0.000 0.500 0.500
Rh1 0.000 0.242 0.000
Rh2 0.169 0.306 0.669
```

Values from the calculation:
Formation energy without anion corrections (eV/f.u.): -4.01
Calculated volume (Å³/cell): 288.5
E (eV/cell): -132.41

(2)
CaPmHo4S8: optimized geometry, GGA-PBE.

Cell and atoms, written as CIF:
```
data_CaPmHo4S8
_symmetry_space_group_name_H-M 'R 3 m'
_symmetry_Int_Tables_number 160
_symmetry_space_group_name_Hall 'R 3 -2"'
_cell_length_a 8.0725
_cell_length_b 8.0725
_cell_length_c 19.9815
_cell_angle_alpha 90.00
_cell_angle_beta 90.00
_cell_angle_gamma 120.00
loop_
_atom_site_label
_atom_site_fract_x
_atom_site_fract_y
_atom_site_fract_z
Ca1 0.0000 0.0000 0.0000
Pm1 0.0000 0.0000 0.3724
Ho1 0.0000 0.0000 0.7487
Ho2 0.0051 0.5026 0.8749
S1 0.0000 0.0000 0.1352
S2 0.0000 0.0000 0.6160
S3 0.0154 0.5077 0.1293
S4 0.1784 0.3568 0.9512
```

Values from the calculation:
Formation energy without anion corrections (eV/f.u.): -27.91
Calculated volume (Å³/cell): 1127.6
E (eV/cell): -257.96

(3)
TbDy12Y2: optimized geometry, GGA-PBE.

Cell and atoms, written as CIF:
```
data_TbDy12Y2
_symmetry_space_group_name_H-M 'C 1 2/m 1'
_symmetry_Int_Tables_number 12
_symmetry_space_group_name_Hall '-C 2y'
_cell_length_a 7.127
_cell_length_b 11.148
_cell_length_c 24.274
_cell_angle_alpha 90.00
_cell_angle_beta 94.16
_cell_angle_gamma 90.00
loop_
_atom_site_label
_atom_site_fract_x
_atom_site_fract_y
_atom_site_fract_z
Tb1 0.250 0.000 0.001
Dy1 0.018 0.250 0.074
Dy2 0.113 0.249 0.445
Dy3 0.141 0.500 0.575
Dy4 0.144 0.000 0.574
Dy5 0.167 0.250 0.670
Dy6 0.200 0.249 0.799
Dy7 0.215 0.500 0.862
Dy8 0.216 0.000 0.863
Y1 0.068 0.000 0.272
Y2 0.068 0.500 0.272
```

Values from the calculation:
Calculated volume (Å³/cell): 1923.6
E (eV/cell): -284.41
Calculated formation energy (eV per atom): 0.1121

(4)
NiPdCl4: optimized geometry, GGA-PBE.

Cell and atoms, written as CIF:
```
data_NiPdCl4
_symmetry_space_group_name_H-M 'C 1 2/c 1'
_symmetry_Int_Tables_number 15
_symmetry_space_group_name_Hall '-C 2yc'
_cell_length_a 7.378
_cell_length_b 13.808
_cell_length_c 6.838
_cell_angle_alpha 90.00
_cell_angle_beta 121.00
_cell_angle_gamma 90.00
loop_
_atom_site_label
_atom_site_fract_x
_atom_site_fract_y
_atom_site_fract_z
Ni1 0.000 0.244 0.250
Pd1 0.000 0.350 0.750
Cl1 0.140 0.356 0.145
Cl2 0.154 0.127 0.172
```

Values from the calculation:
Formation energy without anion corrections (eV/f.u.): -2.77
Calculated volume (Å³/cell): 597.2
Energy relative to the lowest polymorph listed for this composition (meV per atom): 0
E (eV/cell): -84.53

(5)
BaTc4Ir: optimized geometry, GGA-PBE.

Cell and atoms, written as CIF:
```
data_BaTc4Ir
_symmetry_space_group_name_H-M 'F -4 3 m'
_symmetry_Int_Tables_number 216
_symmetry_space_group_name_Hall 'F -4 2 3'
_cell_length_a 7.572
_cell_length_b 7.572
_cell_length_c 7.572
_cell_angle_alpha 90.00
_cell_angle_beta 90.00
_cell_angle_gamma 90.00
loop_
_atom_site_label
_atom_site_fract_x
_atom_site_fract_y
_atom_site_fract_z
Ba1 0.000 0.000 0.000
Tc1 0.123 0.123 0.377
Ir1 0.250 0.250 0.750
```

Values from the calculation:
Calculated volume (Å³/cell): 434.2
E (eV/cell): -187.44
Calculated formation energy (eV per atom): 0.8980

(6)
Pm3In3Ni2: optimized geometry, GGA-PBE.

Cell and atoms, written as CIF:
```
data_Pm3In3Ni2
_symmetry_space_group_name_H-M 'C m c m'
_symmetry_Int_Tables_number 63
_symmetry_space_group_name_Hall '-C 2c 2'
_cell_length_a 4.571
_cell_length_b 10.540
_cell_length_c 15.850
_cell_angle_alpha 90.00
_cell_angle_beta 90.00
_cell_angle_gamma 90.00
loop_
_atom_site_label
_atom_site_fract_x
_atom_site_fract_y
_atom_site_fract_z
Pm1 0.000 0.064 0.111
Pm2 0.000 0.349 0.250
In1 0.000 0.353 0.750
In2 0.000 0.356 0.036
Ni1 0.000 0.211 0.611
```

Values from the calculation:
Calculated volume (Å³/cell): 763.7
E (eV/cell): -149.35
Calculated formation energy (eV per atom): -0.4135

(7)
NaThAuO4: optimized geometry, GGA-PBE.

Cell and atoms, written as CIF:
```
data_NaThAuO4
_symmetry_space_group_name_H-M 'I m m a'
_symmetry_Int_Tables_number 74
_symmetry_space_group_name_Hall '-I 2b 2'
_cell_length_a 6.270
_cell_length_b 7.093
_cell_length_c 11.163
_cell_angle_alpha 90.00
_cell_angle_beta 90.00
_cell_angle_gamma 90.00
loop_
_atom_site_label
_atom_site_fract_x
_atom_site_fract_y
_atom_site_fract_z
Na1 0.000 0.250 0.150
Th1 0.000 0.000 0.500
Au1 0.250 0.250 0.750
O1 0.000 0.064 0.725
O2 0.216 0.250 0.470
```

Values from the calculation:
Formation energy without anion corrections (eV/f.u.): -13.19
Calculated volume (Å³/cell): 496.4
E (eV/cell): -180.17

(8)
TaSb2W: optimized geometry, GGA-PBE.

Cell and atoms, written as CIF:
```
data_TaSb2W
_symmetry_space_group_name_H-M 'I m m m'
_symmetry_Int_Tables_number 71
_symmetry_space_group_name_Hall '-I 2 2'
_cell_length_a 3.468
_cell_length_b 5.132
_cell_length_c 9.021
_cell_angle_alpha 90.00
_cell_angle_beta 90.00
_cell_angle_gamma 90.00
loop_
_atom_site_label
_atom_site_fract_x
_atom_site_fract_y
_atom_site_fract_z
Ta1 0.000 0.000 0.000
Sb1 0.000 0.500 0.241
W1 0.000 0.000 0.500
```

Values from the calculation:
Formation energy without anion corrections (eV/f.u.): 2.79
Calculated volume (Å³/cell): 160.6
Energy relative to the lowest polymorph listed for this composition (meV per atom): 578
E (eV/cell): -60.53